## AcLaSb2 (PBE)

Data for a relaxed structure of AcLaSb2.

Results
**Formation energy from raw total energies**: -1126 meV per atom
**SG**: R3m
**Uncorrected energy**: -5.45 eV per atom
**DOS(E_F)**: 0.2 states/eV/cell

Unit cell a=8.5149 b=8.5149 c=8.5149 alpha=31.63 beta=31.63 gamma=31.63
Last column: nearest neighbours and their distance in Å.
Fractional coordinates of all 4 atoms:
Ac  0.0000  0.0000  0.0000  6 Sb 3.36-3.42
La  0.8296  0.8296  0.8296  6 Sb 3.30-3.35
Sb  0.4167  0.4167  0.4167  3 La 3.30, 3 Ac 3.36
Sb  0.5792  0.5792  0.5792  3 La 3.35, 3 Ac 3.42